No. 1
VASP calculation (PBE) on an optimized crystal structure of Y2SnC.

Unit cell a=8.1990 b=8.1990 c=8.1990 alpha=25.62 beta=25.62 gamma=25.62
Element x y z (fractional)
Y (0.2233, 0.2233, 0.2233)
Y (0.7767, 0.7767, 0.7767)
Sn (0.0000, 0.0000, 0.0000)
C (0.5000, 0.5000, 0.5000)

Properties
magnetic moment: 0.0 Bohr magnetons per cell
uncorrected energy: -7.0900 eV/atom
E_form: -2.20 eV/f.u.
symmetry: No. 166

---

No. 2
VASP calculation (PBE) on an optimized crystal structure of TiVGa2.

Unit cell a=3.8485 b=3.8485 c=4.0008 alpha=90.00 beta=90.00 gamma=90.00
Element x y z (fractional)
Ti (0.0000, 0.0000, 0.0000)
V (0.5000, 0.5000, 0.0000)
Ga (0.0000, 0.5000, 0.5000)
Ga (0.5000, 0.0000, 0.5000)

Properties
magnetic moment: 0.0 Bohr magnetons per cell
uncorrected energy: -6.1006 eV/atom
E_form: -1.34 eV/f.u.
distance to the lowest polymorph of the same formula: 0.00 eV per formula unit
symmetry: No. 123

---

No. 3
VASP calculation (PBE) on an optimized crystal structure of CaPm3Rh.

Unit cell a=5.5964 b=5.5964 c=5.5964 alpha=90.00 beta=90.00 gamma=90.00
Element x y z (fractional)
Ca (0.0000, 0.0000, 0.0000)
Pm (0.0000, 0.5000, 0.5000)
Pm (0.5000, 0.0000, 0.5000)
Pm (0.5000, 0.5000, 0.0000)
Rh (0.5000, 0.5000, 0.5000)

Properties
magnetic moment: 0.0 Bohr magnetons per cell
uncorrected energy: -4.9515 eV/atom
E_form: -1.15 eV/f.u.
symmetry: No. 221

---

Question: Which value of uncorrected energy does entry 2 give?
Answer: -6.1006 eV/atom

---

Question: Among the records above, which one has the lowest E_form?
Answer: Y2SnC

---

Question: Number 3 is which compound?
Answer: CaPm3Rh

---

Question: Among the records above, which one has the highest uncorrected energy?
Answer: CaPm3Rh